[1]
Entry from the Alexandria database: crystalline Hf2BeZn2 at its relaxed geometry (PBE-GGA).

The space group is I4/mmm (No. 139) and the conventional cell measures 3.285, 3.285 and 16.449 Å, with angles of 90.00, 90.00 and 90.00 degrees. Symmetry generates all atoms from Hf at (0.000, 0.000, 0.094), Be at (0.000, 0.000, 0.500) and Zn at (0.000, 0.500, 0.250).

As for the density of states at the Fermi level: 5.7 states/eV per cell. The magnetization comes out at 0.00 μB per formula unit. Its energy of formation from the pure elements is 28.22 kJ per mole of atoms. The value obtained for the energy above the most stable polymorph in this dataset is 401 meV per atom.


[2]
Entry from the Alexandria database: crystalline HfZrBe17 at its relaxed geometry (PBE-GGA).

The space group is R3m (No. 160, hexagonal axes) and the conventional cell measures 7.4921, 7.4921 and 10.9523 Å, with angles of 90.00, 90.00 and 120.00 degrees. Symmetry generates all atoms from Hf at (0.0000, 0.0000, 0.0000), Zr at (0.0000, 0.0000, 0.3251), Be at (0.0000, 0.0000, 0.5668), Be at (0.0000, 0.0000, 0.7592), Be at (0.0005, 0.2875, 0.6627), Be at (0.0020, 0.5010, 0.8201), Be at (0.1670, 0.3340, 0.4962) and Be at (0.1675, 0.3351, 0.8382).

As for the density of states at the Fermi level: 13.2 states/eV per cell. The magnetization comes out at 0.00 μB per formula unit. Its energy of formation from the pure elements is -23.20 kJ per mole of atoms.